No. 1
{"formula": "TlTc2Te", "functional": "PBE", "state": "optimized geometry", "lattice_angstrom": [[8.710, 0.002, 0.001], [8.128, 3.130, 0.001], [8.128, 1.512, 2.741]], "species": ["Te", "Tc", "Tc", "Tl"], "fractional_positions": [[0.250, 0.250, 0.250], [0.994, 0.994, 0.994], [0.506, 0.506, 0.506], [0.750, 0.750, 0.750]], "polymorph_energy_mev_per_atom": 262, "sg": "R-3m (166)", "m_tot_mub_per_cell": 0.00, "crystal_system": "trigonal", "energy_ev_per_cell": -23.90, "formation_energy_uncorrected_mev_per_atom": 585}

---

No. 2
{"formula": "SrScAlO4", "functional": "PBE", "state": "optimized geometry", "lattice_angstrom": [[-4.529, -3.385, -1.956], [1.088, -5.418, -2.294], [-1.594, -4.907, 3.031]], "species": ["O", "O", "O", "O", "Sc", "Sr", "Al"], "fractional_positions": [[0.369, 0.893, 0.369], [0.893, 0.369, 0.369], [0.369, 0.369, 0.369], [0.369, 0.369, 0.893], [0.500, 0.500, 0.500], [0.750, 0.750, 0.750], [0.250, 0.250, 0.250]], "sg": "F-43m (216)", "m_tot_mub_per_cell": 0.00, "crystal_system": "cubic", "energy_ev_per_cell": -50.60, "formation_energy_uncorrected_mev_per_atom": -2716}

---

No. 3
{"formula": "Pr3Sm8Y", "functional": "PBE", "state": "optimized geometry", "lattice_angstrom": [[7.850, -2.290, -3.853], [-5.491, 7.179, 0.268], [-0.432, 2.290, 8.734]], "species": ["Pr", "Pr", "Pr", "Sm", "Sm", "Sm", "Sm", "Sm", "Sm", "Sm", "Sm", "Y"], "fractional_positions": [[0.517, 0.863, 0.398], [0.974, 0.500, 0.474], [0.535, 0.137, 0.654], [0.911, 0.574, 0.997], [0.011, 0.845, 0.670], [0.414, 0.179, 0.097], [0.825, 0.155, 0.166], [0.323, 0.389, 0.681], [0.918, 0.821, 0.236], [0.423, 0.426, 0.337], [0.292, 0.611, 0.934], [0.856, 0.000, 0.856]], "sg": "C2 (5)", "m_tot_mub_per_cell": 0.00, "formation_energy_ev_per_atom": 0.114, "crystal_system": "monoclinic", "energy_ev_per_cell": -57.19}